# SrPuBO5 | the Alexandria database | PBE | optimized geometry
data_SrPuBO5
_chemical_formula_sum 'Sr2 Pu2 B2 O10'
_space_group_name_H-M_alt 'P 1'
_space_group_IT_number 1
_cell_length_a 5.633
_cell_length_b 5.633
_cell_length_c 7.606
_cell_angle_alpha 103.07
_cell_angle_beta 103.07
_cell_angle_gamma 106.51
loop_
_space_group_symop_operation_xyz
'x,y,z'
loop_
_atom_site_label
_atom_site_type_symbol
_atom_site_fract_x
_atom_site_fract_y
_atom_site_fract_z
Sr1 Sr 0.348 0.652 0.250
Sr2 Sr 0.652 0.348 0.750
Pu1 Pu 0.000 0.000 0.500
Pu2 Pu 0.000 0.000 0.000
B1 B 0.687 0.313 0.250
B2 B 0.313 0.687 0.750
O1 O 0.085 0.915 0.250
O2 O 0.915 0.085 0.750
O3 O 0.876 0.309 0.135
O4 O 0.124 0.691 0.865
O5 O 0.691 0.124 0.365
O6 O 0.309 0.876 0.635
O7 O 0.756 0.582 0.386
O8 O 0.244 0.418 0.614
O9 O 0.418 0.244 0.114
O10 O 0.582 0.756 0.886
# VASP energy in eV/atom: -8.602
# Fermi-level density of states in states/eV/f.u.: 6.87
# Formation energy without anion corrections in meV per atom: -2666